Here is crystalline Ac5La2Ge4 at its relaxed geometry from Alexandria. Energies are from PBE.

## Properties
* formation energy: -0.285 eV per atom

Cell lengths 4.023, 8.942, 13.809 Å; angles 125.16, 98.38, 90.00 degrees
Positions (direct):
Ac 0.902 0.231 0.804
Ac 0.500 0.000 0.000
Ac 0.163 0.358 0.326
Ac 0.098 0.769 0.196
Ac 0.837 0.642 0.674
Ge 0.968 0.670 0.936
Ge 0.032 0.330 0.064
Ge 0.604 0.494 0.207
Ge 0.396 0.506 0.793
La 0.736 0.808 0.473
La 0.264 0.192 0.527


Here is crystalline PuCd4Pb2 at its relaxed geometry from Alexandria. Energies are from PBE.

## Properties
* formation energy: -0.034 eV per atom

Cell lengths 5.153, 5.139, 10.181 Å; angles 59.55, 90.00, 120.09 degrees
Positions (direct):
Cd 0.528 0.056 0.708
Cd 0.787 0.575 0.319
Cd 0.213 0.425 0.681
Cd 0.472 0.944 0.292
Pu 0.000 0.000 0.500
Pb 0.264 0.527 0.105
Pb 0.736 0.473 0.895


Here is crystalline ZnAgP2 at its relaxed geometry from Alexandria. Energies are from PBE.

## Properties
* formation energy: 0.444 eV per atom

Cell lengths 2.897, 2.897, 7.754 Å; angles 90.00, 90.00, 90.00 degrees
Positions (direct):
Zn 0.500 0.500 0.250
Ag 0.500 0.500 0.750
P 0.000 0.000 0.011
P 0.000 0.000 0.489


Here is crystalline ZrRu2 at its relaxed geometry from Alexandria. Energies are from PBE.

## Properties
* formation energy: 0.903 eV per atom

Cell lengths 6.187, 6.187, 6.187 Å; angles 90.00, 90.00, 90.00 degrees
Positions (direct):
Ru 0.114 0.614 0.886
Ru 0.386 0.386 0.386
Ru 0.886 0.114 0.614
Ru 0.114 0.886 0.386
Ru 0.886 0.386 0.114
Ru 0.386 0.114 0.886
Ru 0.614 0.614 0.614
Ru 0.614 0.886 0.114
Zr 0.000 0.500 0.500
Zr 0.000 0.000 0.000
Zr 0.500 0.500 0.000
Zr 0.500 0.000 0.500


Here is crystalline BaNaLi2 at its relaxed geometry from Alexandria. Energies are from PBE.

## Properties
* energy above the most stable polymorph in this dataset: 0.12 eV per formula unit
* formation energy: 0.102 eV per atom

Cell lengths 5.240, 7.242, 8.567 Å; angles 90.00, 90.00, 111.33 degrees
Positions (direct):
Li 0.750 0.499 0.583
Li 0.250 0.501 0.083
Li 0.750 0.499 0.917
Li 0.250 0.501 0.417
Na 0.858 0.719 0.250
Na 0.142 0.281 0.750
Ba 0.563 0.128 0.250
Ba 0.437 0.872 0.750


Here is crystalline TbNd2ErMg at its relaxed geometry from Alexandria. Energies are from PBE.

## Properties
* formation energy: 0.165 eV per atom

Cell lengths 7.202, 7.522, 5.939 Å; angles 90.00, 90.00, 90.00 degrees
Positions (direct):
Nd 0.693 0.713 0.750
Nd 0.693 0.287 0.750
Nd 0.307 0.287 0.250
Nd 0.307 0.713 0.250
Er 0.149 0.500 0.750
Er 0.851 0.500 0.250
Tb 0.377 0.000 0.750
Tb 0.623 0.000 0.250
Mg 0.000 0.000 0.500
Mg 0.000 0.000 0.000


Here is crystalline Y4Te2Br at its relaxed geometry from Alexandria. Energies are from PBE.

Cell lengths 5.329, 5.329, 8.535 Å; angles 71.81, 71.81, 90.00 degrees
Positions (direct):
Te 0.379 0.379 0.242
Te 0.621 0.621 0.758
Y 0.184 0.184 0.632
Y 0.500 0.000 0.000
Y 0.000 0.500 0.000
Y 0.816 0.816 0.368
Br 0.000 0.000 0.000


Here is crystalline CaTb2Sm2 at its relaxed geometry from Alexandria. Energies are from PBE.

## Properties
* formation energy: 0.054 eV per atom

Cell lengths 5.592, 3.566, 9.172 Å; angles 90.01, 107.75, 90.00 degrees
Positions (direct):
Sm 0.381 0.000 0.761
Sm 0.619 0.000 0.239
Tb 0.799 0.500 0.597
Tb 0.201 0.500 0.403
Ca 0.000 0.500 0.000


Number 1: electronic total energy -4.7270 eV/atom, DOS at the Fermi energy 1.063 states/eV/atom. Number 2: electronic total energy -3.6636 eV/atom, DOS at the Fermi energy 2.081 states/eV/atom. Number 3: electronic total energy -3.2926 eV/atom, DOS at the Fermi energy 0.374 states/eV/atom. Number 4: electronic total energy -8.1301 eV/atom, DOS at the Fermi energy 1.767 states/eV/atom. Number 5: electronic total energy -1.6651 eV/atom, DOS at the Fermi energy 0.681 states/eV/atom. Number 6: electronic total energy -3.8996 eV/atom, DOS at the Fermi energy 1.253 states/eV/atom. Number 7: electronic total energy -5.3942 eV/atom, DOS at the Fermi energy 1.096 states/eV/atom. Number 8: electronic total energy -4.0860 eV/atom, DOS at the Fermi energy 1.441 states/eV/atom.